Record 1
Here is a relaxed structure of BaRe4Cl from Alexandria via LeMat-Bulk. Energies are from PBE.

The structure in POSCAR format:
```
BaRe4Cl
1.0
0.0000 3.8955 3.8955
3.8955 0.0000 3.8955
3.8955 3.8955 0.0000
Ba Re Cl
1 4 1
Cartesian
5.8432 5.8432 5.8432
2.9079 4.8830 4.8830
4.8830 4.8830 2.9079
4.8830 2.9079 4.8830
2.9079 2.9079 2.9079
0.0000 0.0000 0.0000
```

mass density = 12.89 g/cm³
raw total energy = -7.72 eV/atom
raw formation energy = 1.211 eV per atom

---

Record 2
Here is a relaxed structure of AcPmP from Alexandria via LeMat-Bulk. Energies are from PBE.

The structure in POSCAR format:
```
AcPmP
1.0
7.0100 0.0000 0.0000
0.0000 4.1389 0.0000
0.0000 -2.0695 3.5844
P Ac Pm
1 1 1
Cartesian
0.1154 0.0000 0.0000
5.2623 2.0695 1.1948
1.6323 0.0000 2.3896
```

E above lowest polymorph = 0.000 eV per atom
mass density = 6.43 g/cm³
DFT formation energy = -0.886 eV per atom
raw total energy = -5.64 eV/atom

---

Record 3
Here is a relaxed structure of KRu2 from Alexandria via LeMat-Bulk. Energies are from PBE.

The structure in POSCAR format:
```
KRu2
1.0
7.0628 -0.0530 0.0000
5.7336 4.1246 0.0000
-6.3982 -2.0358 2.1920
K Ru
1 2
Cartesian
0.0000 0.0000 0.0000
3.7541 1.1945 0.0000
9.0424 2.8771 0.0000
```

mass density = 6.21 g/cm³
DFT formation energy = 0.824 eV per atom
raw total energy = -5.73 eV/atom